# Li2Be17

A relaxed Li2Be17 crystal (GGA-PBE, Alexandria).

It has space group R-3m (No. 166, hexagonal axes), with a = 7.3651 Å, b = 7.3651 Å, c = 10.9253 Å, α = 90.00°, β = 90.00° and γ = 120.00°. The asymmetric unit holds Li at (0.0000, 0.0000, 0.1647), Be at (0.0000, 0.0000, 0.4004), Be at (0.0000, 0.3014, 0.5000), Be at (0.0000, 0.5000, 0.0000) and Be at (0.0028, 0.5014, 0.3398).

Its formation energy is 0.053 eV per atom. The uncorrected energy comes out at -3.483 eV/atom. The calculation puts the magnetic moment at 0.00 μB/f.u. The value obtained for the density of states at the Fermi level is 15.9 states/eV per cell.